# GGA-PBE CaMgBr2, optimized geometry
data_CaMgBr2
_symmetry_space_group_name_H-M 'C 1 2/m 1'
_symmetry_Int_Tables_number 12
_cell_length_a 7.203
_cell_length_b 4.153
_cell_length_c 10.860
_cell_angle_alpha 90.00
_cell_angle_beta 100.05
_cell_angle_gamma 90.00
loop_
_symmetry_equiv_pos_as_xyz
'x,y,z'
'-x,-y,-z'
'-x,y,-z'
'x,-y,z'
'x+1/2,y+1/2,z'
'-x+1/2,-y+1/2,-z'
'-x+1/2,y+1/2,-z'
'x+1/2,-y+1/2,z'
loop_
_atom_site_label
_atom_site_type_symbol
_atom_site_fract_x
_atom_site_fract_y
_atom_site_fract_z
Ca1 Ca 0.000 0.000 0.000
Mg1 Mg 0.000 0.500 0.500
Br1 Br 0.207 0.500 0.152
# * polymorph energy (0 for the lowest one): 0 meV/atom


# GGA-PBE DyY7Tm4, optimized geometry
data_DyY7Tm4
_symmetry_space_group_name_H-M 'P -3 m 1'
_symmetry_Int_Tables_number 164
_symmetry_space_group_name_Hall '-P 3 2"'
_cell_length_a 5.5828
_cell_length_b 5.5828
_cell_length_c 13.9718
_cell_angle_alpha 90.00
_cell_angle_beta 90.00
_cell_angle_gamma 120.00
loop_
_atom_site_label
_atom_site_type_symbol
_atom_site_fract_x
_atom_site_fract_y
_atom_site_fract_z
Dy1 Dy 0.0000 0.0000 0.0000
Y1 Y 0.0000 0.0000 0.2489
Y2 Y 0.0000 0.0000 0.5000
Y3 Y 0.3333 0.6667 0.6245
Y4 Y 0.3333 0.6667 0.8764
Tm1 Tm 0.3333 0.6667 0.1256
Tm2 Tm 0.3333 0.6667 0.3739
# * energy of formation: 0.072 eV/atom


# GGA-PBE Tb12NdEr7, optimized geometry
data_Tb12NdEr7
_symmetry_space_group_name_H-M 'R -3'
_symmetry_Int_Tables_number 148
_symmetry_space_group_name_Hall '-R 3'
_cell_length_a 12.8090
_cell_length_b 12.8090
_cell_length_c 13.6588
_cell_angle_alpha 90.00
_cell_angle_beta 90.00
_cell_angle_gamma 120.00
loop_
_atom_site_label
_atom_site_type_symbol
_atom_site_fract_x
_atom_site_fract_y
_atom_site_fract_z
Tb1 Tb 0.0034 0.5673 0.2466
Tb2 Tb 0.0679 0.8696 0.3435
Nd1 Nd 0.0000 0.0000 0.0000
Er1 Er 0.0000 0.0000 0.5000
Er2 Er 0.0680 0.2020 0.8525
# * energy of formation: 0.302 eV/atom
# * polymorph energy (0 for the lowest one): 0 meV/atom


no.,DOS at the Fermi energy (states/eV/cell),E (eV/atom)
1,0.1,-2.972
2,24.5,-5.573
3,56.9,-4.312